Entry 1:
First-principles (GGA-PBE) data for CsTl3B after structural relaxation, as listed in Alexandria.

## Properties
* magnetic moment: 1.9 μB per cell
* energy above the most stable polymorph in this dataset: 115.7 kJ per mole of atoms
* calculated volume: 60.58 Å³/atom
* VASP energy: -1.121 eV per atom
* ΔH_f (0 K): 1.80 eV per atom
* symmetry: Pm-3m (221)

Cell lengths 6.7157, 6.7157, 6.7157 Å; angles 90.00, 90.00, 90.00 degrees
Positions (direct):
Cs  0.0000  0.0000  0.0000
Tl  0.5000  0.0000  0.0000
Tl  0.0000  0.5000  0.0000
B  0.5000  0.5000  0.5000
Tl  0.0000  0.0000  0.5000

Entry 2:
First-principles (GGA-PBE) data for GeS2Cl after structural relaxation, as listed in Alexandria.

## Properties
* magnetic moment: 1.9 μB per cell
* energy above the most stable polymorph in this dataset: 40.8 kJ per mole of atoms
* calculated volume: 23.76 Å³/atom
* E_form (uncorrected): 0.126 eV per atom
* VASP energy: -3.554 eV per atom
* symmetry: I-42d (122)

Cell lengths 6.7676, 6.7676, 6.3339 Å; angles 57.71, 57.71, 90.00 degrees
Positions (direct):
S  0.3750  0.2955  0.7500
Cl  0.5000  0.5000  0.0000
S  0.0455  0.6250  0.2500
S  0.7045  0.1250  0.2500
Ge  0.7500  0.2500  0.5000
Ge  0.0000  0.0000  0.0000
Cl  0.2500  0.7500  0.5000
S  0.8750  0.9545  0.7500

Entry 3:
First-principles (GGA-PBE) data for Ge2Pd4Se after structural relaxation, as listed in Alexandria.

## Properties
* magnetic moment: 0.0 μB per cell
* energy above the most stable polymorph in this dataset: 0.0 kJ per mole of atoms
* calculated volume: 17.56 Å³/atom
* E_form (uncorrected): -0.359 eV per atom
* VASP energy: -5.144 eV per atom
* symmetry: P1 (1)

Cell lengths 8.4687, 6.1476, 6.7973 Å; angles 110.89, 123.58, 98.85 degrees
Positions (direct):
Pd  0.3559  0.0550  0.2102
Pd  0.3960  0.5967  0.2909
Ge  0.7309  0.5740  0.4419
Pd  0.3401  0.4464  0.6091
Pd  0.4590  0.2093  0.9239
Pd  0.9798  0.5874  0.8899
Ge  0.1514  0.3112  0.7769
Se  0.0016  0.0429  0.0603
Pd  0.7865  0.0361  0.5766
Se  0.1906  0.7327  0.4406
Pd  0.8891  0.2896  0.3330
Ge  0.6244  0.2818  0.7236
Ge  0.5389  0.8810  0.0575
Pd  0.8057  0.7058  0.1656

Entry 4:
First-principles (GGA-PBE) data for CePmSn2 after structural relaxation, as listed in Alexandria.

## Properties
* magnetic moment: 0.0 μB per cell
* calculated volume: 32.08 Å³/atom
* VASP energy: -5.182 eV per atom
* ΔH_f (0 K): -0.51 eV per atom
* symmetry: R-3m (166)

Cell lengths 4.5364, 4.5364, 7.6625 Å; angles 72.78, 72.78, 60.00 degrees
Positions (direct):
Ce  0.0000  0.0000  0.0000
Sn  0.7474  0.7474  0.7578
Pm  0.5000  0.5000  0.5000
Sn  0.2526  0.2526  0.2422

Entry 5:
First-principles (GGA-PBE) data for HoTmNiRu after structural relaxation, as listed in Alexandria.

## Properties
* magnetic moment: 0.0 μB per cell
* energy above the most stable polymorph in this dataset: 1.9 kJ per mole of atoms
* calculated volume: 18.95 Å³/atom
* VASP energy: -6.474 eV per atom
* ΔH_f (0 K): -0.45 eV per atom
* symmetry: F-43m (216)

Cell lengths 4.7500, 4.7500, 4.7500 Å; angles 60.00, 60.00, 60.00 degrees
Positions (direct):
Ho  0.7500  0.7500  0.7500
Tm  0.2500  0.2500  0.2500
Ru  0.0000  0.0000  0.0000
Ni  0.5000  0.5000  0.5000

Entry 6:
First-principles (GGA-PBE) data for YRe3Pd after structural relaxation, as listed in Alexandria.

## Properties
* magnetic moment: 0.0 μB per cell
* energy above the most stable polymorph in this dataset: 118.4 kJ per mole of atoms
* calculated volume: 21.51 Å³/atom
* VASP energy: -6.672 eV per atom
* ΔH_f (0 K): 3.13 eV per atom
* symmetry: Pm-3m (221)

Cell lengths 4.7556, 4.7556, 4.7556 Å; angles 90.00, 90.00, 90.00 degrees
Positions (direct):
Re  0.0000  0.5000  0.0000
Y  0.0000  0.0000  0.0000
Pd  0.5000  0.5000  0.5000
Re  0.5000  0.0000  0.0000
Re  0.0000  0.0000  0.5000